# NdBiAu2 | the Alexandria database | PBEsol | optimized geometry
# **Energy of formation**: -0.61 eV per atom
# **Final energy**: -4.938 eV/atom
# **Fermi-level density of states**: 5.487 states/eV/cell
data_NdBiAu2
_space_group_name_H-M_alt 'F m -3 m'
_space_group_IT_number 225
_space_group_name_Hall '-F 4 2 3'
_cell_length_a 7.184
_cell_length_b 7.184
_cell_length_c 7.184
_cell_angle_alpha 90.00
_cell_angle_beta 90.00
_cell_angle_gamma 90.00
loop_
_atom_site_label
_atom_site_type_symbol
_atom_site_fract_x
_atom_site_fract_y
_atom_site_fract_z
Nd1 Nd 0.000 0.000 0.000
Bi1 Bi 0.000 0.000 0.500
Au1 Au 0.250 0.250 0.250